{"formula": "K2CuNi3F12", "functional": "PBE+U", "state": "relaxed", "lattice_angstrom": [[-1.7202, 4.6496, -5.2815], [-1.8677, -2.3572, -6.5899], [-6.8144, 0.5889, -2.3852]], "species": ["F", "F", "F", "F", "F", "F", "F", "Ni", "Ni", "F", "Ni", "F", "K", "F", "K", "F", "F", "Cu"], "fractional_positions": [[0.3193, 0.9253, 0.9253], [0.3269, 0.3269, 0.9255], [0.9255, 0.3269, 0.3269], [0.3269, 0.9255, 0.3269], [0.6731, 0.0745, 0.6731], [0.0745, 0.6731, 0.6731], [0.6807, 0.0747, 0.0747], [0.0000, 0.0000, 0.5000], [0.5000, 0.0000, 0.0000], [0.9253, 0.3193, 0.9253], [0.0000, 0.5000, 0.0000], [0.6731, 0.6731, 0.0745], [0.6195, 0.6195, 0.6195], [0.0747, 0.0747, 0.6807], [0.3805, 0.3805, 0.3805], [0.0747, 0.6807, 0.0747], [0.9253, 0.9253, 0.3193], [0.0000, 0.0000, 0.0000]], "total_energy_ev_per_cell": -73.7, "spacegroup": "R-3m, No. 166"}